Entry 1:
A relaxed La2Ru crystal, computed with PBE-GGA.

Summary:
- Crystal system: orthorhombic
- Energy of formation from the pure elements: -0.27 eV/atom

CIF file:
```
data_La2Ru
_chemical_formula_sum 'La4 Ru2'
_symmetry_space_group_name_H-M 'P n n m'
_symmetry_Int_Tables_number 58
_symmetry_space_group_name_Hall '-P 2 2n'
_cell_length_a 6.6811
_cell_length_b 6.7680
_cell_length_c 4.2482
_cell_angle_alpha 90.00
_cell_angle_beta 90.00
_cell_angle_gamma 90.00
loop_
_atom_site_label
_atom_site_type_symbol
_atom_site_fract_x
_atom_site_fract_y
_atom_site_fract_z
_atom_site_occupancy
La1 La 0.2255 0.1719 0.0000 1
Ru1 Ru 0.0000 0.0000 0.5000 1
```

Entry 2:
A relaxed Mg14CoW crystal, computed with PBE-GGA.

Summary:
- ΔE to the lowest computed polymorph: 8 meV/atom
- Crystal system: hexagonal
- Energy of formation from the pure elements: 0.19 eV/atom

CIF file:
```
data_Mg14CoW
_chemical_formula_sum 'Mg14 Co1 W1'
_symmetry_space_group_name_H-M 'P -6 m 2'
_symmetry_Int_Tables_number 187
_symmetry_space_group_name_Hall 'P -6 2'
_cell_length_a 6.1859
_cell_length_b 6.1859
_cell_length_c 9.8016
_cell_angle_alpha 90.00
_cell_angle_beta 90.00
_cell_angle_gamma 120.00
loop_
_atom_site_label
_atom_site_type_symbol
_atom_site_fract_x
_atom_site_fract_y
_atom_site_fract_z
_atom_site_occupancy
Mg1 Mg 0.0000 0.0000 0.2479 1
Mg2 Mg 0.0209 0.5104 0.2532 1
Mg3 Mg 0.3329 0.1665 0.5000 1
Mg4 Mg 0.3371 0.1685 0.0000 1
Co1 Co 0.3333 0.6667 0.5000 1
W1 W 0.3333 0.6667 0.0000 1
```

Entry 3:
A relaxed PrSn4Ir4 crystal, computed with PBE-GGA.

Summary:
- Crystal system: tetragonal
- Energy of formation from the pure elements: -0.21 eV/atom

CIF file:
```
data_PrSn4Ir4
_chemical_formula_sum 'Pr2 Sn8 Ir8'
_symmetry_space_group_name_H-M 'P 42/n m c'
_symmetry_Int_Tables_number 137
_cell_length_a 6.8231
_cell_length_b 6.8231
_cell_length_c 8.4349
_cell_angle_alpha 90.00
_cell_angle_beta 90.00
_cell_angle_gamma 90.00
loop_
_symmetry_equiv_pos_as_xyz
'x,y,z'
'-x,-y,-z'
'-y+1/2,x,z+1/2'
'y+1/2,-x,-z+1/2'
'-x+1/2,-y+1/2,z'
'x+1/2,y+1/2,-z'
'y,-x+1/2,z+1/2'
'-y,x+1/2,-z+1/2'
'x+1/2,-y,-z'
'-x+1/2,y,z'
'-y,-x,-z+1/2'
'y,x,z+1/2'
'-x,y+1/2,-z'
'x,-y+1/2,z'
'y+1/2,x+1/2,-z+1/2'
'-y+1/2,-x+1/2,z+1/2'
loop_
_atom_site_label
_atom_site_type_symbol
_atom_site_fract_x
_atom_site_fract_y
_atom_site_fract_z
_atom_site_occupancy
Pr1 Pr 0.2500 0.7500 0.2500 1
Sn1 Sn 0.0019 0.7500 0.6174 1
Ir1 Ir 0.0501 0.2500 0.0693 1
```